No. 1
CuOs2S: optimized geometry, PBE-GGA.

Space-group type = I-42d, No. 122
Raw total energy = -6.987 eV per atom
Crystal system = tetragonal

a = 6.9752 Å, b = 6.9752 Å, c = 5.5027 Å
α = 50.67°, β = 50.67°, γ = 90.00°
Last column: nearest neighbours and their distance in Å.
Element x y z (fractional)
S1 0.5000 0.5000 0.0000  4 Os 2.22, 2 Cu 2.44
S2 0.2500 0.7500 0.5000  4 Os 2.22, 2 Cu 2.44
Os1 0.5515 0.1250 0.2500  2 S 2.22
Os2 0.1985 0.6250 0.2500  2 S 2.22
Os3 0.3750 0.4485 0.7500  2 S 2.22
Os4 0.8750 0.8015 0.7500  2 S 2.22
Cu1 0.0000 0.0000 0.0000  2 S 2.44
Cu2 0.7500 0.2500 0.5000  2 S 2.44

No. 2
Cu4SbOs: optimized geometry, PBE-GGA.

Space-group type = F-43m, No. 216
Raw total energy = -4.912 eV per atom
Crystal system = cubic

a = 4.9014 Å, b = 4.9014 Å, c = 4.9014 Å
α = 60.00°, β = 60.00°, γ = 60.00°
Last column: nearest neighbours and their distance in Å.
Element x y z (fractional)
Cu1 0.8728 0.3757 0.3757  6 Cu 2.44-2.47
Cu2 0.3757 0.3757 0.8728  6 Cu 2.44-2.47
Cu3 0.3757 0.8728 0.3757  6 Cu 2.44-2.47
Cu4 0.3757 0.3757 0.3757  6 Cu 2.44-2.47
Sb1 0.0000 0.0000 0.0000  12 Cu 2.88, 4 Os 3.00
Os1 0.7500 0.7500 0.7500  12 Cu 2.87, 4 Sb 3.00

No. 3
Cu3SbOs: optimized geometry, PBE-GGA.

Space-group type = Pm-3m, No. 221
Crystal system = cubic
ΔE to the lowest computed polymorph = 0.0 meV per atom

a = 4.6500 Å, b = 4.6500 Å, c = 4.6500 Å
α = 90.00°, β = 90.00°, γ = 90.00°
Last column: nearest neighbours and their distance in Å.
Element x y z (fractional)
Sb1 0.5000 0.5000 0.5000  12 Cu 3.29
Os1 0.0000 0.0000 0.0000  6 Cu 2.32
Cu1 0.0000 0.5000 0.0000  2 Os 2.32
Cu2 0.0000 0.0000 0.5000  2 Os 2.32
Cu3 0.5000 0.0000 0.0000  2 Os 2.32